Entry 1:
# CsReSn PBE relaxed
# Distance to the lowest polymorph of the same formula: 948 meV per atom
# Raw total energy: -9.8 eV for the cell shown
data_CsReSn
_cell_length_a 5.504
_cell_length_b 5.504
_cell_length_c 5.504
_cell_angle_alpha 60.00
_cell_angle_beta 60.00
_cell_angle_gamma 60.00
_symmetry_space_group_name_H-M 'P 1'
_symmetry_Int_Tables_number 1
_symmetry_space_group_name_Hall 'P 1'
loop_
_atom_site_label
_atom_site_type_symbol
_atom_site_fract_x
_atom_site_fract_y
_atom_site_fract_z
Cs1 Cs 0.000 0.000 0.000
Sn1 Sn 0.750 0.750 0.750
Re1 Re 0.250 0.250 0.250



Entry 2:
# CsReSn PBE relaxed
# Distance to the lowest polymorph of the same formula: 0 meV per atom
# Raw total energy: -12.6 eV for the cell shown
data_CsReSn
_cell_length_a 4.880
_cell_length_b 4.880
_cell_length_c 4.880
_cell_angle_alpha 60.00
_cell_angle_beta 60.00
_cell_angle_gamma 60.00
_symmetry_space_group_name_H-M 'P 1'
_symmetry_Int_Tables_number 1
_symmetry_space_group_name_Hall 'P 1'
loop_
_atom_site_label
_atom_site_type_symbol
_atom_site_fract_x
_atom_site_fract_y
_atom_site_fract_z
Cs1 Cs 0.250 0.250 0.250
Re1 Re 0.000 0.000 0.000
Sn1 Sn 0.750 0.750 0.750



Entry 3:
# CsReSn PBE relaxed
# Distance to the lowest polymorph of the same formula: 374 meV per atom
# Raw total energy: -11.5 eV for the cell shown
data_CsReSn
_cell_length_a 5.335
_cell_length_b 5.335
_cell_length_c 5.335
_cell_angle_alpha 60.00
_cell_angle_beta 60.00
_cell_angle_gamma 60.00
_symmetry_space_group_name_H-M 'P 1'
_symmetry_Int_Tables_number 1
_symmetry_space_group_name_Hall 'P 1'
loop_
_atom_site_label
_atom_site_type_symbol
_atom_site_fract_x
_atom_site_fract_y
_atom_site_fract_z
Cs1 Cs 0.250 0.250 0.250
Sn1 Sn 0.000 0.000 0.000
Re1 Re 0.750 0.750 0.750



Entry 4:
# CsTbRe PBE relaxed
# Raw total energy: -10.9 eV for the cell shown
data_CsTbRe
_cell_length_a 4.965
_cell_length_b 4.965
_cell_length_c 4.965
_cell_angle_alpha 60.00
_cell_angle_beta 60.00
_cell_angle_gamma 60.00
_symmetry_space_group_name_H-M 'P 1'
_symmetry_Int_Tables_number 1
_symmetry_space_group_name_Hall 'P 1'
loop_
_atom_site_label
_atom_site_type_symbol
_atom_site_fract_x
_atom_site_fract_y
_atom_site_fract_z
Tb1 Tb 0.250 0.250 0.250
Re1 Re 0.750 0.750 0.750
Cs1 Cs 0.000 0.000 0.000



Entry 5:
# CsURe PBE relaxed
# Distance to the lowest polymorph of the same formula: 0 meV per atom
# Raw total energy: -18.7 eV for the cell shown
data_CsURe
_cell_length_a 4.913
_cell_length_b 4.913
_cell_length_c 4.913
_cell_angle_alpha 60.00
_cell_angle_beta 60.00
_cell_angle_gamma 60.00
_symmetry_space_group_name_H-M 'P 1'
_symmetry_Int_Tables_number 1
_symmetry_space_group_name_Hall 'P 1'
loop_
_atom_site_label
_atom_site_type_symbol
_atom_site_fract_x
_atom_site_fract_y
_atom_site_fract_z
Re1 Re 0.250 0.250 0.250
Cs1 Cs 0.000 0.000 0.000
U1 U 0.500 0.500 0.500



Entry 6:
# CsURe PBE relaxed
# Distance to the lowest polymorph of the same formula: 724 meV per atom
# Raw total energy: -16.6 eV for the cell shown
data_CsURe
_cell_length_a 4.794
_cell_length_b 4.794
_cell_length_c 4.794
_cell_angle_alpha 60.00
_cell_angle_beta 60.00
_cell_angle_gamma 60.00
_symmetry_space_group_name_H-M 'P 1'
_symmetry_Int_Tables_number 1
_symmetry_space_group_name_Hall 'P 1'
loop_
_atom_site_label
_atom_site_type_symbol
_atom_site_fract_x
_atom_site_fract_y
_atom_site_fract_z
U1 U 0.250 0.250 0.250
Cs1 Cs 0.000 0.000 0.000
Re1 Re 0.750 0.750 0.750



Entry 7:
# CsYRe PBE relaxed
# Raw total energy: -12.7 eV for the cell shown
data_CsYRe
_cell_length_a 4.963
_cell_length_b 4.963
_cell_length_c 4.963
_cell_angle_alpha 60.00
_cell_angle_beta 60.00
_cell_angle_gamma 60.00
_symmetry_space_group_name_H-M 'P 1'
_symmetry_Int_Tables_number 1
_symmetry_space_group_name_Hall 'P 1'
loop_
_atom_site_label
_atom_site_type_symbol
_atom_site_fract_x
_atom_site_fract_y
_atom_site_fract_z
Y1 Y 0.750 0.750 0.750
Re1 Re 0.250 0.250 0.250
Cs1 Cs 0.000 0.000 0.000



Entry 8:
# CsZrRe PBE relaxed
# Distance to the lowest polymorph of the same formula: 1059 meV per atom
# Raw total energy: -13.7 eV for the cell shown
data_CsZrRe
_cell_length_a 4.696
_cell_length_b 4.696
_cell_length_c 4.696
_cell_angle_alpha 60.00
_cell_angle_beta 60.00
_cell_angle_gamma 60.00
_symmetry_space_group_name_H-M 'P 1'
_symmetry_Int_Tables_number 1
_symmetry_space_group_name_Hall 'P 1'
loop_
_atom_site_label
_atom_site_type_symbol
_atom_site_fract_x
_atom_site_fract_y
_atom_site_fract_z
Re1 Re 0.250 0.250 0.250
Cs1 Cs 0.000 0.000 0.000
Zr1 Zr 0.750 0.750 0.750



Entry 9:
# CsZrRe PBE relaxed
# Distance to the lowest polymorph of the same formula: 0 meV per atom
# Raw total energy: -16.9 eV for the cell shown
data_CsZrRe
_cell_length_a 4.819
_cell_length_b 4.819
_cell_length_c 4.819
_cell_angle_alpha 60.00
_cell_angle_beta 60.00
_cell_angle_gamma 60.00
_symmetry_space_group_name_H-M 'P 1'
_symmetry_Int_Tables_number 1
_symmetry_space_group_name_Hall 'P 1'
loop_
_atom_site_label
_atom_site_type_symbol
_atom_site_fract_x
_atom_site_fract_y
_atom_site_fract_z
Cs1 Cs 0.250 0.250 0.250
Re1 Re 0.000 0.000 0.000
Zr1 Zr 0.750 0.750 0.750



Entry 10:
# CsZnSbS3 PBE relaxed
# Raw total energy: -45.9 eV for the cell shown
data_CsZnSbS3
_cell_length_a 8.037
_cell_length_b 8.037
_cell_length_c 10.671
_cell_angle_alpha 90.00
_cell_angle_beta 90.00
_cell_angle_gamma 150.84
_symmetry_space_group_name_H-M 'P 1'
_symmetry_Int_Tables_number 1
_symmetry_space_group_name_Hall 'P 1'
loop_
_atom_site_label
_atom_site_type_symbol
_atom_site_fract_x
_atom_site_fract_y
_atom_site_fract_z
Zn1 Zn 0.958 0.042 0.750
Zn2 Zn 0.042 0.958 0.250
S1 S 0.885 0.115 0.940
S2 S 0.115 0.885 0.060
S3 S 0.453 0.547 0.250
S4 S 0.885 0.115 0.560
S5 S 0.115 0.885 0.440
S6 S 0.547 0.453 0.750
Sb1 Sb 0.500 0.500 0.000
Sb2 Sb 0.500 0.500 0.500
Cs1 Cs 0.239 0.761 0.750
Cs2 Cs 0.761 0.239 0.250



Entry 11:
# Cs2TbScS4 PBE relaxed
# Raw total energy: -43.1 eV for the cell shown
data_Cs2TbScS4
_cell_length_a 4.009
_cell_length_b 4.009
_cell_length_c 15.970
_cell_angle_alpha 90.00
_cell_angle_beta 90.00
_cell_angle_gamma 120.00
_symmetry_space_group_name_H-M 'P 1'
_symmetry_Int_Tables_number 1
_symmetry_space_group_name_Hall 'P 1'
loop_
_atom_site_label
_atom_site_type_symbol
_atom_site_fract_x
_atom_site_fract_y
_atom_site_fract_z
Tb1 Tb 0.000 0.000 0.000
Cs1 Cs 0.667 0.333 0.745
Cs2 Cs 0.333 0.667 0.255
Sc1 Sc 0.000 0.000 0.500
S1 S 0.667 0.333 0.416
S2 S 0.667 0.333 0.094
S3 S 0.333 0.667 0.906
S4 S 0.333 0.667 0.584



Entry 12:
# CsScZnTe2S PBE relaxed
# Raw total energy: -51.2 eV for the cell shown
data_CsScZnTe2S
_cell_length_a 8.642
_cell_length_b 8.642
_cell_length_c 10.678
_cell_angle_alpha 90.00
_cell_angle_beta 90.00
_cell_angle_gamma 152.32
_symmetry_space_group_name_H-M 'P 1'
_symmetry_Int_Tables_number 1
_symmetry_space_group_name_Hall 'P 1'
loop_
_atom_site_label
_atom_site_type_symbol
_atom_site_fract_x
_atom_site_fract_y
_atom_site_fract_z
Te1 Te 0.620 0.380 0.955
Te2 Te 0.380 0.620 0.045
Te3 Te 0.620 0.380 0.545
Te4 Te 0.380 0.620 0.455
Sc1 Sc 0.000 0.000 0.500
Sc2 Sc 0.000 0.000 0.000
S1 S 0.043 0.957 0.250
S2 S 0.957 0.043 0.750
Zn1 Zn 0.533 0.467 0.750
Zn2 Zn 0.467 0.533 0.250
Cs1 Cs 0.267 0.733 0.750
Cs2 Cs 0.733 0.267 0.250



Entry 13:
# Cs2TmScS4 PBE relaxed
# Raw total energy: -43.0 eV for the cell shown
data_Cs2TmScS4
_cell_length_a 3.974
_cell_length_b 3.974
_cell_length_c 15.932
_cell_angle_alpha 90.00
_cell_angle_beta 90.00
_cell_angle_gamma 120.00
_symmetry_space_group_name_H-M 'P 1'
_symmetry_Int_Tables_number 1
_symmetry_space_group_name_Hall 'P 1'
loop_
_atom_site_label
_atom_site_type_symbol
_atom_site_fract_x
_atom_site_fract_y
_atom_site_fract_z
S1 S 0.667 0.333 0.092
S2 S 0.333 0.667 0.585
S3 S 0.333 0.667 0.908
S4 S 0.667 0.333 0.415
Tm1 Tm 0.000 0.000 0.000
Cs1 Cs 0.333 0.667 0.253
Cs2 Cs 0.667 0.333 0.747
Sc1 Sc 0.000 0.000 0.500



Entry 14:
# Cs2TeWSeS PBE relaxed
# Raw total energy: -59.6 eV for the cell shown
data_Cs2TeWSeS
_cell_length_a 8.257
_cell_length_b 8.257
_cell_length_c 10.641
_cell_angle_alpha 120.77
_cell_angle_beta 120.77
_cell_angle_gamma 55.08
_symmetry_space_group_name_H-M 'P 1'
_symmetry_Int_Tables_number 1
_symmetry_space_group_name_Hall 'P 1'
loop_
_atom_site_label
_atom_site_type_symbol
_atom_site_fract_x
_atom_site_fract_y
_atom_site_fract_z
Te1 Te 0.393 0.393 0.598
Te2 Te 0.607 0.607 0.402
S1 S 0.779 0.779 0.217
S2 S 0.221 0.221 0.783
W1 W 0.395 0.395 0.846
W2 W 0.605 0.605 0.154
Se1 Se 0.244 0.756 0.000
Se2 Se 0.756 0.244 0.000
Cs1 Cs 0.074 0.074 0.366
Cs2 Cs 0.926 0.926 0.634
Cs3 Cs 0.287 0.287 0.169
Cs4 Cs 0.713 0.713 0.831



Entry 15:
# CsTbSiS4 PBE relaxed
# Raw total energy: -150.3 eV for the cell shown
data_CsTbSiS4
_cell_length_a 6.388
_cell_length_b 6.718
_cell_length_c 17.863
_cell_angle_alpha 90.00
_cell_angle_beta 90.00
_cell_angle_gamma 90.00
_symmetry_space_group_name_H-M 'P 1'
_symmetry_Int_Tables_number 1
_symmetry_space_group_name_Hall 'P 1'
loop_
_atom_site_label
_atom_site_type_symbol
_atom_site_fract_x
_atom_site_fract_y
_atom_site_fract_z
Cs1 Cs 0.000 0.507 0.468
Cs2 Cs 0.500 0.493 0.968
Cs3 Cs 0.000 0.007 0.032
Cs4 Cs 0.500 0.993 0.532
S1 S 0.109 0.075 0.220
S2 S 0.395 0.753 0.344
S3 S 0.067 0.752 0.853
S4 S 0.933 0.252 0.647
S5 S 0.605 0.253 0.156
S6 S 0.054 0.512 0.097
S7 S 0.433 0.248 0.353
S8 S 0.946 0.012 0.403
S9 S 0.446 0.488 0.597
S10 S 0.391 0.925 0.720
S11 S 0.567 0.748 0.147
S12 S 0.609 0.425 0.780
S13 S 0.895 0.747 0.656
S14 S 0.105 0.247 0.844
S15 S 0.554 0.988 0.903
S16 S 0.891 0.575 0.280
Si1 Si 0.291 0.983 0.832
Si2 Si 0.209 0.017 0.332
Si3 Si 0.709 0.483 0.668
Si4 Si 0.791 0.517 0.168
Tb1 Tb 0.708 0.979 0.271
Tb2 Tb 0.792 0.021 0.771
Tb3 Tb 0.292 0.479 0.229
Tb4 Tb 0.208 0.521 0.729



Entry 16:
# CsSmS2 PBE relaxed
# Raw total energy: -21.1 eV for the cell shown
data_CsSmS2
_cell_length_a 8.425
_cell_length_b 8.425
_cell_length_c 8.425
_cell_angle_alpha 28.77
_cell_angle_beta 28.77
_cell_angle_gamma 28.77
_symmetry_space_group_name_H-M 'P 1'
_symmetry_Int_Tables_number 1
_symmetry_space_group_name_Hall 'P 1'
loop_
_atom_site_label
_atom_site_type_symbol
_atom_site_fract_x
_atom_site_fract_y
_atom_site_fract_z
Cs1 Cs 0.000 0.000 0.000
S1 S 0.771 0.771 0.771
S2 S 0.229 0.229 0.229
Sm1 Sm 0.500 0.500 0.500



Entry 17:
# CsSmS3 PBE relaxed
# Raw total energy: -48.9 eV for the cell shown
data_CsSmS3
_cell_length_a 6.987
_cell_length_b 7.621
_cell_length_c 8.099
_cell_angle_alpha 112.43
_cell_angle_beta 95.72
_cell_angle_gamma 113.98
_symmetry_space_group_name_H-M 'P 1'
_symmetry_Int_Tables_number 1
_symmetry_space_group_name_Hall 'P 1'
loop_
_atom_site_label
_atom_site_type_symbol
_atom_site_fract_x
_atom_site_fract_y
_atom_site_fract_z
S1 S 0.555 0.675 0.751
S2 S 0.746 0.247 0.735
S3 S 0.975 0.145 0.639
S4 S 0.025 0.855 0.361
S5 S 0.445 0.325 0.249
S6 S 0.254 0.753 0.265
Cs1 Cs 0.871 0.208 0.144
Cs2 Cs 0.129 0.792 0.856
Sm1 Sm 0.599 0.755 0.467
Sm2 Sm 0.401 0.245 0.533



Entry 18:
# CsSm2S3 PBE relaxed
# Raw total energy: -65.0 eV for the cell shown
data_CsSm2S3
_cell_length_a 8.310
_cell_length_b 8.310
_cell_length_c 11.024
_cell_angle_alpha 90.00
_cell_angle_beta 90.00
_cell_angle_gamma 148.06
_symmetry_space_group_name_H-M 'P 1'
_symmetry_Int_Tables_number 1
_symmetry_space_group_name_Hall 'P 1'
loop_
_atom_site_label
_atom_site_type_symbol
_atom_site_fract_x
_atom_site_fract_y
_atom_site_fract_z
S1 S 0.444 0.556 0.250
S2 S 0.888 0.112 0.958
S3 S 0.112 0.888 0.042
S4 S 0.888 0.112 0.542
S5 S 0.556 0.444 0.750
S6 S 0.112 0.888 0.458
Cs1 Cs 0.236 0.764 0.750
Cs2 Cs 0.764 0.236 0.250
Sm1 Sm 0.500 0.500 0.000
Sm2 Sm 0.029 0.971 0.250
Sm3 Sm 0.971 0.029 0.750
Sm4 Sm 0.500 0.500 0.500



Entry 19:
# CsSmZnS3 PBE relaxed
# Raw total energy: -56.2 eV for the cell shown
data_CsSmZnS3
_cell_length_a 9.341
_cell_length_b 4.097
_cell_length_c 9.962
_cell_angle_alpha 90.00
_cell_angle_beta 110.49
_cell_angle_gamma 90.00
_symmetry_space_group_name_H-M 'P 1'
_symmetry_Int_Tables_number 1
_symmetry_space_group_name_Hall 'P 1'
loop_
_atom_site_label
_atom_site_type_symbol
_atom_site_fract_x
_atom_site_fract_y
_atom_site_fract_z
S1 S 0.317 0.250 0.955
S2 S 0.974 0.750 0.652
S3 S 0.617 0.250 0.352
S4 S 0.026 0.250 0.348
S5 S 0.383 0.750 0.648
S6 S 0.683 0.750 0.045
Zn1 Zn 0.581 0.250 0.111
Zn2 Zn 0.419 0.750 0.889
Sm1 Sm 0.828 0.750 0.361
Sm2 Sm 0.172 0.250 0.639
Cs1 Cs 0.279 0.750 0.251
Cs2 Cs 0.721 0.250 0.749



Entry 20:
# CsSmZnS3 PBE relaxed
# Raw total energy: -53.6 eV for the cell shown
data_CsSmZnS3
_cell_length_a 9.274
_cell_length_b 9.274
_cell_length_c 8.875
_cell_angle_alpha 99.29
_cell_angle_beta 99.29
_cell_angle_gamma 26.48
_symmetry_space_group_name_H-M 'P 1'
_symmetry_Int_Tables_number 1
_symmetry_space_group_name_Hall 'P 1'
loop_
_atom_site_label
_atom_site_type_symbol
_atom_site_fract_x
_atom_site_fract_y
_atom_site_fract_z
S1 S 0.500 0.500 0.000
S2 S 0.347 0.347 0.240
S3 S 0.681 0.681 0.364
S4 S 0.653 0.653 0.760
S5 S 0.000 0.000 0.500
S6 S 0.319 0.319 0.636
Sm1 Sm 0.162 0.162 0.554
Sm2 Sm 0.838 0.838 0.446
Cs1 Cs 0.152 0.152 0.064
Cs2 Cs 0.848 0.848 0.936
Zn1 Zn 0.527 0.527 0.749
Zn2 Zn 0.473 0.473 0.251